1.
VASP calculation (PBE) on a relaxed Sm crystal.

Cell and atoms, written as extended XYZ:
```
29
Lattice="-4.687 4.737 -8.533 -6.560 -7.667 3.926 1.878 7.414 7.663" Properties=species:S:1:pos:R:3 pbc="T T T"
Sm -5.292 -2.967 -0.405
Sm -4.682 3.797 -4.752
Sm -3.673 6.279 0.451
Sm -5.986 -0.539 2.515
Sm -0.974 1.898 5.694
Sm -4.793 0.340 -3.727
Sm -8.254 -3.272 -2.136
Sm 0.000 0.000 0.000
Sm -3.224 -2.124 4.698
Sm -1.689 1.707 -3.076
Sm -0.384 5.805 1.769
Sm -2.365 -2.763 1.415
Sm -7.203 -0.030 -1.112
Sm -5.851 -3.943 3.023
Sm -2.568 1.239 8.676
Sm -0.586 5.468 5.356
Sm -3.327 4.212 3.693
Sm -4.457 1.090 5.663
Sm -2.291 3.124 0.412
Sm -1.399 8.980 0.900
Sm -2.636 8.475 -2.150
Sm -7.901 -0.936 -4.482
Sm 0.677 2.672 2.762
Sm -5.992 2.868 1.954
Sm -4.157 -1.601 7.972
Sm -3.874 0.295 -0.289
Sm -2.643 0.797 2.750
Sm -2.135 5.091 -2.550
Sm -5.395 3.368 -1.410
```

Computed properties:
DFT total energy ... -131.41 eV per cell
Formation energy from the elements ... 0.1797 eV/atom
ΔE to the lowest computed polymorph ... 179.7 meV per atom
Magnetic moment ... 1.412 Bohr magnetons per cell
Space group ... I-43m
Crystal system ... cubic

2.
VASP calculation (PBE) on a relaxed Sm crystal.

Cell and atoms, written as extended XYZ:
```
3
Lattice="4.217 0.000 0.000 -2.109 3.652 0.000 0.000 0.000 6.478" Properties=species:S:1:pos:R:3 pbc="T T T"
Sm 1.397 2.419 0.000
Sm 1.424 0.000 2.159
Sm -0.712 1.233 4.318
```

Computed properties:
DFT total energy ... -12.39 eV per cell
Formation energy from the elements ... 0.5825 eV/atom
ΔE to the lowest computed polymorph ... 582.5 meV per atom
Magnetic moment ... 1.728 Bohr magnetons per cell
Space group ... P3_121
Crystal system ... trigonal

3.
VASP calculation (PBE) on a relaxed SmSn3 crystal.

Cell and atoms, written as extended XYZ:
```
4
Lattice="-2.454 1.761 3.642 3.529 -1.149 2.934 1.977 4.238 -0.718" Properties=species:S:1:pos:R:3 pbc="T T T"
Sn 2.753 1.544 1.108
Sn -0.238 3.000 1.462
Sm 0.000 0.000 0.000
Sn 0.538 0.306 3.288
```

Computed properties:
DFT total energy ... -18.64 eV per cell
Magnetic moment ... 0.000 Bohr magnetons per cell
Space group ... Pm-3m
Crystal system ... cubic

4.
VASP calculation (PBE) on a relaxed SmSn2 crystal.

Cell and atoms, written as extended XYZ:
```
6
Lattice="-2.914 -3.857 8.786 5.362 -7.306 4.294 5.293 1.885 8.306" Properties=species:S:1:pos:R:3 pbc="T T T"
Sn 1.446 -5.408 12.413
Sm 1.935 -2.320 5.347
Sn 5.584 -7.132 10.167
Sm 3.870 -4.639 10.693
Sn 5.549 -2.537 12.173
Sn 2.903 -3.479 8.020
```

Computed properties:
DFT total energy ... -18.16 eV per cell
Magnetic moment ... 4.066 Bohr magnetons per cell
Space group ... Fd-3m
Crystal system ... cubic

5.
VASP calculation (PBE) on a relaxed SmSn2 crystal.

Cell and atoms, written as extended XYZ:
```
6
Lattice="2.235 -7.959 0.000 2.235 7.959 0.000 0.000 0.000 4.558" Properties=species:S:1:pos:R:3 pbc="T T T"
Sn 2.235 2.932 0.000
Sn 0.000 0.000 0.000
Sn 2.235 0.000 2.279
Sn 2.235 -2.932 0.000
Sm 2.235 -5.640 2.279
Sm 2.235 5.640 2.279
```

Computed properties:
DFT total energy ... -29.20 eV per cell
Magnetic moment ... 0.000 Bohr magnetons per cell
Space group ... Cmmm
Crystal system ... orthorhombic

6.
VASP calculation (PBE) on a relaxed Sm2Sn crystal.

Cell and atoms, written as extended XYZ:
```
6
Lattice="4.793 2.767 7.827 -4.793 2.767 7.827 0.000 -5.535 7.827" Properties=species:S:1:pos:R:3 pbc="T T T"
Sn 0.000 0.000 11.740
Sm 2.397 1.384 12.719
Sm 0.000 0.000 8.805
Sn 0.000 0.000 5.870
Sm -2.397 1.384 12.719
Sm 0.000 -2.767 12.719
```

Computed properties:
DFT total energy ... -19.51 eV per cell
Magnetic moment ... 0.975 Bohr magnetons per cell
Space group ... Fd-3m
Crystal system ... cubic

7.
VASP calculation (PBE) on a relaxed SmSn2 crystal.

Cell and atoms, written as extended XYZ:
```
6
Lattice="-5.309 -3.074 0.759 -3.614 1.227 4.862 -5.396 2.903 -0.814" Properties=species:S:1:pos:R:3 pbc="T T T"
Sn -6.251 -0.791 3.411
Sm -3.580 0.264 1.202
Sn -7.142 0.047 0.573
Sm 0.000 0.000 0.000
Sn -8.949 0.660 3.004
Sn -6.295 2.197 2.625
```

Computed properties:
DFT total energy ... -27.30 eV per cell
Magnetic moment ... 0.194 Bohr magnetons per cell
Space group ... Fd-3m
Crystal system ... cubic

8.
VASP calculation (PBE) on a relaxed Sm2Sn crystal.

Cell and atoms, written as extended XYZ:
```
6
Lattice="0.000 4.473 4.473 4.473 0.000 4.473 4.473 4.473 0.000" Properties=species:S:1:pos:R:3 pbc="T T T"
Sn 2.236 2.236 2.236
Sm 3.354 5.591 3.354
Sn 0.000 0.000 0.000
Sm 5.591 5.591 5.591
Sm 5.591 3.354 3.354
Sm 3.354 3.354 5.591
```

Computed properties:
DFT total energy ... -26.90 eV per cell
Magnetic moment ... 0.026 Bohr magnetons per cell
Space group ... Fd-3m
Crystal system ... cubic

9.
VASP calculation (PBE) on a relaxed SrSmSn crystal.

Cell and atoms, written as extended XYZ:
```
3
Lattice="0.000 3.817 3.817 3.817 0.000 3.817 3.817 3.817 0.000" Properties=species:S:1:pos:R:3 pbc="T T T"
Sr 5.725 5.725 5.725
Sn 1.908 1.908 1.908
Sm 0.000 0.000 0.000
```

Computed properties:
DFT total energy ... -10.32 eV per cell
Magnetic moment ... 0.011 Bohr magnetons per cell
Space group ... F-43m
Crystal system ... cubic

10.
VASP calculation (PBE) on a relaxed SmTaSn crystal.

Cell and atoms, written as extended XYZ:
```
3
Lattice="-4.077 2.099 2.111 -2.474 3.685 -2.405 -4.580 -0.879 -1.934" Properties=species:S:1:pos:R:3 pbc="T T T"
Sm 0.000 0.000 0.000
Ta -8.348 3.679 -1.671
Sn -2.783 1.226 -0.557
```

Computed properties:
DFT total energy ... -17.50 eV per cell
Magnetic moment ... 3.130 Bohr magnetons per cell
Space group ... F-43m
Crystal system ... cubic

11.
VASP calculation (PBE) on a relaxed TbSm2Sn7 crystal.

Cell and atoms, written as extended XYZ:
```
10
Lattice="2.212 -13.364 0.000 2.212 13.364 0.000 0.000 0.000 4.487" Properties=species:S:1:pos:R:3 pbc="T T T"
Sn 2.212 7.695 2.243
Tb 0.000 0.000 2.243
Sm 2.212 -5.030 0.000
Sn 2.212 -2.561 2.243
Sn 2.212 -7.695 2.243
Sn 2.212 10.815 0.000
Sn 2.212 2.561 2.243
Sn 2.212 -10.815 0.000
Sm 2.212 5.030 0.000
Sn 2.212 0.000 0.000
```

Computed properties:
DFT total energy ... -47.82 eV per cell
Magnetic moment ... 0.001 Bohr magnetons per cell
Space group ... Cmmm
Crystal system ... orthorhombic

12.
VASP calculation (PBE) on a relaxed TbSm2Sn4 crystal.

Cell and atoms, written as extended XYZ:
```
7
Lattice="1.382 3.813 7.829 -5.228 -0.410 7.089 3.839 -4.917 -6.231" Properties=species:S:1:pos:R:3 pbc="T T T"
Tb 0.000 0.000 0.000
Sn -3.122 2.763 12.111
Sn 2.611 -0.552 0.799
Sn -0.724 0.640 2.807
Sn -0.694 -2.663 0.429
Sm -1.480 1.310 5.741
Sm -2.366 2.094 9.177
```

Computed properties:
DFT total energy ... -30.90 eV per cell
Magnetic moment ... 0.013 Bohr magnetons per cell
Space group ... I4/mmm
Crystal system ... tetragonal